No. 1
# Ac2CeZnO6 | Alexandria via LeMat-Bulk | PBE-GGA | relaxed
# Density = 8.1 Mg/m³
# Fermi-level density of states = 0.00 states/eV/f.u.
# Final energy = -7.43 eV/atom
data_Ac2CeZnO6
_chemical_formula_sum 'Ac4 Ce2 Zn2 O12'
_symmetry_space_group_name_H-M 'P 1 21/c 1'
_symmetry_Int_Tables_number 14
_symmetry_space_group_name_Hall '-P 2ybc'
_cell_length_a 5.9368
_cell_length_b 6.0786
_cell_length_c 10.3238
_cell_angle_alpha 90.00
_cell_angle_beta 124.04
_cell_angle_gamma 90.00
loop_
_atom_site_label
_atom_site_type_symbol
_atom_site_fract_x
_atom_site_fract_y
_atom_site_fract_z
Ac1 Ac 0.2324 0.0496 0.2481
Ce1 Ce 0.5000 0.0000 0.0000
Zn1 Zn 0.0000 0.0000 0.5000
O1 O 0.1442 0.2057 0.9446
O2 O 0.2305 0.7022 0.9417
O3 O 0.3546 0.0388 0.7480

No. 2
# Ac2CeOs | Alexandria via LeMat-Bulk | PBE-GGA | relaxed
# Formation energy from the elements = -0.15 eV per atom
# Density = 8.5 Mg/m³
# Fermi-level density of states = 7.17 states/eV/f.u.
# Final energy = -6.50 eV/atom
data_Ac2CeOs
_chemical_formula_sum 'Ac4 Ce2 Os2'
_symmetry_space_group_name_H-M 'I m m 2'
_symmetry_Int_Tables_number 44
_symmetry_space_group_name_Hall 'I 2 -2'
_cell_length_a 4.5837
_cell_length_b 12.6955
_cell_length_c 5.2419
_cell_angle_alpha 90.00
_cell_angle_beta 90.00
_cell_angle_gamma 90.00
loop_
_atom_site_label
_atom_site_type_symbol
_atom_site_fract_x
_atom_site_fract_y
_atom_site_fract_z
Ac1 Ac 0.0000 0.1580 0.0000
Ce1 Ce 0.0000 0.5000 0.9960
Os1 Os 0.0000 0.5000 0.4937